The following is a DFT calculation (PBE) of Tb2PrNd3Er6 after structural relaxation.

Unit cell a=6.204 b=6.204 c=11.763 alpha=95.03 beta=95.03 gamma=119.98
Positions (direct):
Tb1 0.167 0.833 0.000
Tb2 0.833 0.167 0.000
Pr1 0.500 0.500 0.000
Nd1 0.000 0.000 0.500
Nd2 0.333 0.667 0.500
Nd3 0.667 0.333 0.500
Er1 0.083 0.417 0.751
Er2 0.249 0.249 0.249
Er3 0.417 0.083 0.751
Er4 0.583 0.917 0.249
Er5 0.751 0.751 0.751
Er6 0.917 0.583 0.249

Values from the calculation:
E, eV for the cell shown: -55.52
DFT formation energy, eV per formula unit: 0.20
Space-group type: No. 12